## Ni3OF5 (PBE with a Hubbard U)

Data for a relaxed Ni3OF5 crystal.

Calculated values
Total DFT energy (no corrections) = -4.28 eV per atom
Offset from the most stable computed form = 0 meV/atom
ρ = 4.65 g cm⁻³
Magnetic moment = 7.0 μB per formula unit

Lattice parameters (Å, degrees): 4.700 5.629 7.765 86.22 89.99 89.97
Space group P1 (No. 1)
Symmetry-distinct sites (fractional):
Ni 0.000 0.000 0.000 x1
Ni 0.001 0.670 0.323 x1
Ni 0.503 0.496 0.990 x1
Ni 0.510 0.840 0.659 x1
Ni 0.523 0.161 0.330 x1
Ni 0.998 0.326 0.655 x1
O 0.703 0.129 0.558 x1
O 0.812 0.962 0.227 x1
F 0.201 0.035 0.765 x1
F 0.204 0.367 0.423 x1
F 0.206 0.700 0.093 x1
F 0.305 0.869 0.428 x1
F 0.309 0.533 0.755 x1
F 0.313 0.199 0.097 x1
F 0.702 0.796 0.892 x1
F 0.704 0.463 0.223 x1
F 0.808 0.630 0.557 x1
F 0.811 0.298 0.892 x1